No. 1
A relaxed Ca3Y crystal, computed with GGA-PBE.

Calculated values
- Energy of formation: 0.105 eV/atom
- Relative energy among the computed polymorphs: 0.305 eV/f.u.
- Size of the total moment: 0.00 μB/f.u.
- N(E_F): 5.89 states/eV/f.u.
- Energy: -3.01 eV/atom

Unit cell a=3.6295 b=5.9325 c=7.2905 alpha=90.00 beta=102.57 gamma=90.00
Space group P2/m (No. 10)
Inequivalent atoms, fractional coordinates:
Ca  0.0000  0.0000  0.0000 x1
Ca  0.2470  0.5000  0.7416 x2
Y  0.5000  0.0000  0.5000 x1

=====

No. 2
A relaxed CaScTa2 crystal, computed with GGA-PBE.

Calculated values
- Energy of formation: 0.930 eV/atom
- Relative energy among the computed polymorphs: 2.669 eV/f.u.
- Size of the total moment: 0.00 μB/f.u.
- N(E_F): 4.96 states/eV/f.u.
- Energy: -7.08 eV/atom

Unit cell a=7.0481 b=7.0481 c=7.0481 alpha=90.00 beta=90.00 gamma=90.00
Space group Fm-3m (No. 225)
Inequivalent atoms, fractional coordinates:
Ca  0.0000  0.0000  0.0000 x4
Sc  0.0000  0.0000  0.5000 x4
Ta  0.2500  0.2500  0.2500 x8

=====

No. 3
A relaxed Tb3Pm2Pr6Mg crystal, computed with GGA-PBE.

Calculated values
- Energy of formation: 0.012 eV/atom
- Size of the total moment: 0.00 μB/f.u.
- N(E_F): 13.22 states/eV/f.u.
- Energy: -4.46 eV/atom

Unit cell a=6.2981 b=10.9149 c=11.9556 alpha=90.00 beta=100.14 gamma=90.00
Space group C2/m (No. 12)
Inequivalent atoms, fractional coordinates:
Tb  0.0000  0.0000  0.0000 x2
Tb  0.0000  0.3337  0.0000 x4
Pm  0.0000  0.1672  0.5000 x4
Pr  0.2484  0.3345  0.7506 x8
Pr  0.2480  0.5000  0.2485 x4
Mg  0.0000  0.5000  0.5000 x2

=====

No. 4
A relaxed YEr2TmTh crystal, computed with GGA-PBE.

Calculated values
- Energy of formation: 0.460 eV/atom
- Size of the total moment: 0.00 μB/f.u.
- N(E_F): 6.50 states/eV/f.u.
- Energy: -5.04 eV/atom

Unit cell a=8.2891 b=11.3039 c=7.1775 alpha=90.00 beta=90.00 gamma=90.00
Space group Cmcm (No. 63)
Inequivalent atoms, fractional coordinates:
Y  0.0000  0.0035  0.2500 x4
Er  0.1880  0.5000  0.0000 x8
Tm  0.0000  0.2791  0.7500 x4
Th  0.0000  0.2723  0.2500 x4

=====

No. 5
A relaxed V2CoRuC crystal, computed with GGA-PBE.

Calculated values
- Energy of formation: -0.136 eV/atom
- Size of the total moment: 0.00 μB/f.u.
- N(E_F): 3.92 states/eV/f.u.
- Energy: -8.90 eV/atom

Unit cell a=3.9610 b=3.9610 c=3.6908 alpha=90.00 beta=90.00 gamma=90.00
Space group P4/mmm (No. 123)
Inequivalent atoms, fractional coordinates:
V  0.0000  0.5000  0.0000 x2
Co  0.0000  0.0000  0.5000 x1
Ru  0.5000  0.5000  0.5000 x1
C  0.0000  0.0000  0.0000 x1

=====

No. 6
A relaxed Pm2Pu2Tl3 crystal, computed with GGA-PBE.

Calculated values
- Energy of formation: -0.133 eV/atom
- Size of the total moment: 12.21 μB/f.u.
- N(E_F): 14.70 states/eV/f.u.
- Energy: -6.60 eV/atom

Unit cell a=4.7382 b=23.4515 c=3.5069 alpha=90.00 beta=90.00 gamma=90.00
Space group Cmmm (No. 65)
Inequivalent atoms, fractional coordinates:
Pm  0.0000  0.0748  0.0000 x4
Pu  0.0000  0.2141  0.0000 x4
Tl  0.0000  0.3488  0.5000 x4
Tl  0.0000  0.5000  0.5000 x2